A plane-wave DFT calculation with GGA-PBE was carried out for an optimized crystal structure of K2AgPbCl6.

E   -32.06 eV per formula unit
Relative energy among the computed polymorphs   27.3 meV/atom
SG   C2/m

a = 7.5411 Å, b = 7.5411 Å, c = 7.5406 Å
α = 119.95°, β = 119.95°, γ = 60.06°
Closest atoms and distances in Å follow each position.
Element x y z (fractional)
1 Cl 0.2545 0.7436 0.2548  1 Ag 2.61, 1 Pb 2.73
2 Cl 0.2564 0.7455 0.7452  1 Ag 2.61, 1 Pb 2.73
3 K 0.7499 0.7499 0.2499  12 Cl 3.76-3.78
4 Cl 0.7436 0.2545 0.2548  1 Ag 2.61, 1 Pb 2.73
5 Pb 0.0000 0.0000 0.0000  6 Cl 2.73
6 Cl 0.7444 0.7444 0.7430  1 Ag 2.61, 1 Pb 2.73
7 Ag 0.5000 0.5000 0.5000  6 Cl 2.61
8 Cl 0.7455 0.2564 0.7452  1 Ag 2.61, 1 Pb 2.73
9 Cl 0.2556 0.2556 0.2570  1 Ag 2.61, 1 Pb 2.73
10 K 0.2501 0.2501 0.7501  12 Cl 3.76-3.78